1.
VASP calculation (SCAN) on a PBEsol-optimized structure of GeBiP2O.

**E_form (uncorrected)**: 147 meV/atom
**Total magnetization**: 0.00 μB/f.u.
**DFT total energy**: -123.96 eV/f.u.

```
data_GeBiP2O
_chemical_formula_sum 'Ge1 Bi1 P2 O1'
_symmetry_space_group_name_H-M 'P 4/m m m'
_symmetry_Int_Tables_number 123
_symmetry_space_group_name_Hall '-P 4 2'
_cell_length_a 4.882
_cell_length_b 4.882
_cell_length_c 3.662
_cell_angle_alpha 90.00
_cell_angle_beta 90.00
_cell_angle_gamma 90.00
loop_
_atom_site_label
_atom_site_type_symbol
_atom_site_fract_x
_atom_site_fract_y
_atom_site_fract_z
Ge1 Ge 0.000 0.000 0.000
Bi1 Bi 0.500 0.500 0.500
P1 P 0.000 0.500 0.000
O1 O 0.000 0.000 0.500
```



2.
VASP calculation (SCAN) on a PBEsol-optimized structure of GeBiRuO2.

**E_form (uncorrected)**: 92 meV/atom
**Total magnetization**: 1.28 μB/f.u.
**DFT total energy**: -144.50 eV/f.u.

```
data_GeBiRuO2
_chemical_formula_sum 'Ge1 Bi1 Ru1 O2'
_symmetry_space_group_name_H-M 'P 4/m m m'
_symmetry_Int_Tables_number 123
_symmetry_space_group_name_Hall '-P 4 2'
_cell_length_a 3.670
_cell_length_b 3.670
_cell_length_c 6.657
_cell_angle_alpha 90.00
_cell_angle_beta 90.00
_cell_angle_gamma 90.00
loop_
_atom_site_label
_atom_site_type_symbol
_atom_site_fract_x
_atom_site_fract_y
_atom_site_fract_z
Ge1 Ge 0.000 0.000 0.000
Bi1 Bi 0.000 0.000 0.500
Ru1 Ru 0.500 0.500 0.500
O1 O 0.000 0.500 0.000
```



3.
VASP calculation (SCAN) on a PBEsol-optimized structure of GeBiOs3.

**ΔE_f**: 1.66 eV/atom
**Total magnetization**: 0.00 μB/f.u.
**DFT total energy**: -305.02 eV/f.u.

```
data_GeBiOs3
_chemical_formula_sum 'Ge1 Bi1 Os3'
_symmetry_space_group_name_H-M 'P m -3 m'
_symmetry_Int_Tables_number 221
_symmetry_space_group_name_Hall '-P 4 2 3'
_cell_length_a 4.569
_cell_length_b 4.569
_cell_length_c 4.569
_cell_angle_alpha 90.00
_cell_angle_beta 90.00
_cell_angle_gamma 90.00
loop_
_atom_site_label
_atom_site_type_symbol
_atom_site_fract_x
_atom_site_fract_y
_atom_site_fract_z
Ge1 Ge 0.000 0.000 0.000
Bi1 Bi 0.500 0.500 0.500
Os1 Os 0.000 0.000 0.500
```



4.
VASP calculation (SCAN) on a PBEsol-optimized structure of YGe2BiOs.

**ΔE_f**: -0.17 eV/atom
**Total magnetization**: 0.00 μB/f.u.
**DFT total energy**: -217.33 eV/f.u.

```
data_YGe2BiOs
_chemical_formula_sum 'Y1 Ge2 Bi1 Os1'
_symmetry_space_group_name_H-M 'P 4/m m m'
_symmetry_Int_Tables_number 123
_symmetry_space_group_name_Hall '-P 4 2'
_cell_length_a 4.721
_cell_length_b 4.721
_cell_length_c 5.434
_cell_angle_alpha 90.00
_cell_angle_beta 90.00
_cell_angle_gamma 90.00
loop_
_atom_site_label
_atom_site_type_symbol
_atom_site_fract_x
_atom_site_fract_y
_atom_site_fract_z
Y1 Y 0.000 0.000 0.000
Ge1 Ge 0.000 0.500 0.500
Bi1 Bi 0.500 0.500 0.000
Os1 Os 0.000 0.000 0.500
```



5.
VASP calculation (SCAN) on a PBEsol-optimized structure of Ge3BiP.

**ΔE_f**: 0.58 eV/atom
**Total magnetization**: 0.00 μB/f.u.
**DFT total energy**: -143.33 eV/f.u.

```
data_Ge3BiP
_chemical_formula_sum 'Ge3 Bi1 P1'
_symmetry_space_group_name_H-M 'P m -3 m'
_symmetry_Int_Tables_number 221
_symmetry_space_group_name_Hall '-P 4 2 3'
_cell_length_a 4.802
_cell_length_b 4.802
_cell_length_c 4.802
_cell_angle_alpha 90.00
_cell_angle_beta 90.00
_cell_angle_gamma 90.00
loop_
_atom_site_label
_atom_site_type_symbol
_atom_site_fract_x
_atom_site_fract_y
_atom_site_fract_z
Ge1 Ge 0.000 0.000 0.500
Bi1 Bi 0.500 0.500 0.500
P1 P 0.000 0.000 0.000
```



6.
VASP calculation (SCAN) on a PBEsol-optimized structure of GeBiP2S.

**E_form (uncorrected)**: 1345 meV/atom
**Total magnetization**: 0.00 μB/f.u.
**DFT total energy**: -121.37 eV/f.u.

```
data_GeBiP2S
_chemical_formula_sum 'Ge1 Bi1 P2 S1'
_symmetry_space_group_name_H-M 'P 4/m m m'
_symmetry_Int_Tables_number 123
_symmetry_space_group_name_Hall '-P 4 2'
_cell_length_a 5.131
_cell_length_b 5.131
_cell_length_c 5.134
_cell_angle_alpha 90.00
_cell_angle_beta 90.00
_cell_angle_gamma 90.00
loop_
_atom_site_label
_atom_site_type_symbol
_atom_site_fract_x
_atom_site_fract_y
_atom_site_fract_z
Ge1 Ge 0.000 0.000 0.000
Bi1 Bi 0.500 0.500 0.500
P1 P 0.000 0.500 0.500
S1 S 0.500 0.500 0.000
```